K2PmMo3O12 | PBE with a Hubbard U | optimized geometry

## Properties
- DFT total energy: -6.678 eV per atom
- SG: R-3m
- D(E_F): 10.136 states/eV/f.u.

a b c (Å): 7.6326 7.6326 7.6326
angles (deg): 59.20 59.20 59.20
Last column: nearest neighbours and their distance in Å.
Fractional coordinates of all 18 atoms:
1 K 0.1519 0.1519 0.1519  3 O 2.82
2 K 0.8481 0.8481 0.8481  3 O 2.82
3 Pm 0.5000 0.5000 0.5000  6 O 2.35
4 Mo 0.0000 0.5000 0.5000  6 O 1.90-1.95
5 Mo 0.5000 0.0000 0.5000  6 O 1.90-1.95
6 Mo 0.5000 0.5000 0.0000  6 O 1.90-1.95
7 O 0.1294 0.5858 0.5858  1 Mo 1.90
8 O 0.2059 0.2059 0.5663  2 Mo 1.95
9 O 0.2059 0.5663 0.2059  2 Mo 1.95
10 O 0.4142 0.4142 0.8706  1 Mo 1.90
11 O 0.4142 0.8706 0.4142  1 Mo 1.90
12 O 0.4337 0.7941 0.7941  2 Mo 1.95
13 O 0.5663 0.2059 0.2059  2 Mo 1.95
14 O 0.5858 0.1294 0.5858  1 Mo 1.90
15 O 0.5858 0.5858 0.1294  1 Mo 1.90
16 O 0.7941 0.4337 0.7941  2 Mo 1.95
17 O 0.7941 0.7941 0.4337  2 Mo 1.95
18 O 0.8706 0.4142 0.4142  1 Mo 1.90